{"formula": "CsRbSn4", "functional": "GGA-PBE", "state": "optimized geometry", "de_polymorph_mev_per_atom": 0.0, "crystal_system": "orthorhombic", "total_energy_ev_per_atom": -3.137, "formation_enthalpy_0k_ev_per_atom": -0.16, "spacegroup": "Immm", "dos_at_fermi_per_ev_fu": 2.694, "lattice": [[-2.364, 4.262, 6.321], [2.364, -4.262, 6.321], [2.364, 4.262, -6.321]], "species": ["Cs", "Rb", "Sn", "Sn", "Sn", "Sn"], "frac_coords": [[0.000, 0.000, 0.000], [0.500, 0.500, 0.000], [0.118, 0.789, 0.329], [0.460, 0.789, 0.671], [0.540, 0.211, 0.329], [0.882, 0.211, 0.671]]}

{"formula": "CsRbSn", "functional": "GGA-PBE", "state": "optimized geometry", "de_polymorph_mev_per_atom": 8.6, "crystal_system": "monoclinic", "total_energy_ev_per_atom": -2.078, "formation_enthalpy_0k_ev_per_atom": -0.14, "spacegroup": "Pm", "dos_at_fermi_per_ev_fu": 2.124, "lattice": [[6.646, 0.000, 0.000], [0.000, 4.641, 0.000], [-3.315, 0.000, 11.300]], "species": ["Cs", "Cs", "Rb", "Rb", "Sn", "Sn"], "frac_coords": [[0.000, 0.000, 0.000], [0.155, 0.500, 0.309], [0.396, 0.000, 0.794], [0.757, 0.500, 0.515], [0.540, 0.500, 0.077], [0.616, 0.000, 0.233]]}

{"formula": "CsRbSn2", "functional": "GGA-PBE", "state": "optimized geometry", "de_polymorph_mev_per_atom": 405.9, "crystal_system": "cubic", "total_energy_ev_per_atom": -2.248, "formation_enthalpy_0k_ev_per_atom": 0.21, "spacegroup": "Fm-3m", "dos_at_fermi_per_ev_fu": 1.620, "lattice": [[0.000, 4.414, 4.414], [4.414, 0.000, 4.414], [4.414, 4.414, 0.000]], "species": ["Cs", "Rb", "Sn", "Sn"], "frac_coords": [[0.000, 0.000, 0.000], [0.500, 0.500, 0.500], [0.250, 0.250, 0.250], [0.750, 0.750, 0.750]]}

{"formula": "CsRbSn3", "functional": "GGA-PBE", "state": "optimized geometry", "de_polymorph_mev_per_atom": 0.0, "crystal_system": "cubic", "total_energy_ev_per_atom": -1.980, "formation_enthalpy_0k_ev_per_atom": 0.79, "spacegroup": "Pm-3m", "dos_at_fermi_per_ev_fu": 4.842, "lattice": [[6.375, 0.000, 0.000], [0.000, 6.375, 0.000], [0.000, 0.000, 6.375]], "species": ["Cs", "Rb", "Sn", "Sn", "Sn"], "frac_coords": [[0.000, 0.000, 0.000], [0.500, 0.500, 0.500], [0.000, 0.500, 0.500], [0.500, 0.000, 0.500], [0.500, 0.500, 0.000]]}

{"formula": "CsRbSn2", "functional": "GGA-PBE", "state": "optimized geometry", "de_polymorph_mev_per_atom": 0.0, "crystal_system": "orthorhombic", "total_energy_ev_per_atom": -2.653, "formation_enthalpy_0k_ev_per_atom": -0.20, "spacegroup": "Pnma", "dos_at_fermi_per_ev_fu": 2.272, "lattice": [[7.557, 0.000, 0.000], [0.000, 8.351, 0.000], [0.000, 0.000, 11.610]], "species": ["Cs", "Cs", "Cs", "Cs", "Rb", "Rb", "Rb", "Rb", "Sn", "Sn", "Sn", "Sn", "Sn", "Sn", "Sn", "Sn"], "frac_coords": [[0.001, 0.250, 0.209], [0.499, 0.750, 0.709], [0.501, 0.250, 0.291], [0.999, 0.750, 0.791], [0.145, 0.750, 0.136], [0.355, 0.250, 0.636], [0.645, 0.750, 0.364], [0.855, 0.250, 0.864], [0.150, 0.580, 0.449], [0.150, 0.920, 0.449], [0.350, 0.080, 0.949], [0.350, 0.420, 0.949], [0.650, 0.580, 0.051], [0.650, 0.920, 0.051], [0.850, 0.080, 0.551], [0.850, 0.420, 0.551]]}

{"formula": "Cs12Rb5Sn2", "functional": "GGA-PBE", "state": "optimized geometry", "crystal_system": "monoclinic", "total_energy_ev_per_atom": -1.226, "formation_enthalpy_0k_ev_per_atom": -0.01, "spacegroup": "C2/m", "dos_at_fermi_per_ev_fu": 21.786, "lattice": [[13.489, -4.925, 0.000], [13.489, 4.925, 0.000], [-0.088, 0.000, 13.515]], "species": ["Cs", "Cs", "Cs", "Cs", "Cs", "Cs", "Cs", "Cs", "Cs", "Cs", "Cs", "Cs", "Rb", "Rb", "Rb", "Rb", "Rb", "Sn", "Sn"], "frac_coords": [[0.021, 0.021, 0.274], [0.092, 0.596, 0.457], [0.104, 0.628, 0.078], [0.372, 0.896, 0.922], [0.404, 0.908, 0.543], [0.474, 0.474, 0.843], [0.526, 0.526, 0.157], [0.596, 0.092, 0.457], [0.628, 0.104, 0.078], [0.896, 0.372, 0.922], [0.908, 0.404, 0.543], [0.979, 0.979, 0.726], [0.214, 0.214, 0.217], [0.288, 0.288, 0.780], [0.500, 0.500, 0.500], [0.712, 0.712, 0.220], [0.786, 0.786, 0.783], [0.142, 0.858, 0.000], [0.858, 0.142, 0.000]]}

{"formula": "CsRbSn3", "functional": "GGA-PBE", "state": "optimized geometry", "de_polymorph_mev_per_atom": 133.0, "crystal_system": "cubic", "total_energy_ev_per_atom": -1.847, "formation_enthalpy_0k_ev_per_atom": 0.92, "spacegroup": "Pm-3m", "dos_at_fermi_per_ev_fu": 5.970, "lattice": [[6.435, 0.000, 0.000], [0.000, 6.435, 0.000], [0.000, 0.000, 6.435]], "species": ["Cs", "Rb", "Sn", "Sn", "Sn"], "frac_coords": [[0.000, 0.000, 0.000], [0.500, 0.500, 0.500], [0.000, 0.000, 0.500], [0.000, 0.500, 0.000], [0.500, 0.000, 0.000]]}

{"formula": "Cs2RbSn2", "functional": "GGA-PBE", "state": "optimized geometry", "de_polymorph_mev_per_atom": 452.3, "crystal_system": "tetragonal", "total_energy_ev_per_atom": -1.827, "formation_enthalpy_0k_ev_per_atom": 0.31, "spacegroup": "I4/mmm", "dos_at_fermi_per_ev_fu": 5.491, "lattice": [[-3.125, 3.125, 7.331], [3.125, -3.125, 7.331], [3.125, 3.125, -7.331]], "species": ["Cs", "Cs", "Rb", "Sn", "Sn"], "frac_coords": [[0.124, 0.124, 0.000], [0.876, 0.876, 0.000], [0.500, 0.500, 0.000], [0.250, 0.750, 0.500], [0.750, 0.250, 0.500]]}

{"formula": "CsRbSn", "functional": "GGA-PBE", "state": "optimized geometry", "de_polymorph_mev_per_atom": 0.0, "crystal_system": "monoclinic", "total_energy_ev_per_atom": -2.087, "formation_enthalpy_0k_ev_per_atom": -0.15, "spacegroup": "C2/m", "dos_at_fermi_per_ev_fu": 1.863, "lattice": [[5.706, -3.295, 0.000], [5.706, 3.295, 0.000], [-3.796, 0.000, 8.744]], "species": ["Cs", "Cs", "Rb", "Rb", "Sn", "Sn"], "frac_coords": [[0.206, 0.206, 0.117], [0.794, 0.794, 0.883], [0.373, 0.373, 0.619], [0.627, 0.627, 0.381], [0.054, 0.054, 0.661], [0.946, 0.946, 0.339]]}

{"formula": "CsRbSn4", "functional": "GGA-PBE", "state": "optimized geometry", "de_polymorph_mev_per_atom": 71.7, "crystal_system": "cubic", "total_energy_ev_per_atom": -3.065, "formation_enthalpy_0k_ev_per_atom": -0.09, "spacegroup": "F-43m", "dos_at_fermi_per_ev_fu": 8.496, "lattice": [[0.000, 4.693, 4.693], [4.693, 0.000, 4.693], [4.693, 4.693, 0.000]], "species": ["Cs", "Rb", "Sn", "Sn", "Sn", "Sn"], "frac_coords": [[0.000, 0.000, 0.000], [0.750, 0.750, 0.750], [0.376, 0.376, 0.376], [0.376, 0.376, 0.873], [0.376, 0.873, 0.376], [0.873, 0.376, 0.376]]}

{"formula": "Cs2RbSn2", "functional": "GGA-PBE", "state": "optimized geometry", "de_polymorph_mev_per_atom": 167.4, "crystal_system": "tetragonal", "total_energy_ev_per_atom": -2.112, "formation_enthalpy_0k_ev_per_atom": 0.02, "spacegroup": "P4/mbm", "dos_at_fermi_per_ev_fu": 3.740, "lattice": [[11.096, 0.000, 0.000], [0.000, 11.096, 0.000], [0.000, 0.000, 4.053]], "species": ["Cs", "Cs", "Cs", "Cs", "Rb", "Rb", "Sn", "Sn", "Sn", "Sn"], "frac_coords": [[0.195, 0.305, 0.000], [0.305, 0.805, 0.000], [0.695, 0.195, 0.000], [0.805, 0.695, 0.000], [0.000, 0.000, 0.000], [0.500, 0.500, 0.000], [0.093, 0.593, 0.500], [0.407, 0.093, 0.500], [0.593, 0.907, 0.500], [0.907, 0.407, 0.500]]}

{"formula": "Cs2RbTcSn", "functional": "GGA-PBE", "state": "optimized geometry", "crystal_system": "tetragonal", "total_energy_ev_per_atom": -2.183, "formation_enthalpy_0k_ev_per_atom": 1.23, "spacegroup": "P4/mmm", "dos_at_fermi_per_ev_fu": 5.469, "lattice": [[5.859, 0.000, 0.000], [0.000, 5.859, 0.000], [0.000, 0.000, 6.670]], "species": ["Cs", "Cs", "Rb", "Tc", "Sn"], "frac_coords": [[0.000, 0.500, 0.000], [0.500, 0.000, 0.000], [0.000, 0.000, 0.500], [0.000, 0.000, 0.000], [0.500, 0.500, 0.500]]}